a) Material: PaCoGeOs
Method: DFT, PBE
State: optimized geometry

Unit cell a=4.5855 b=4.5855 c=4.5855 alpha=60.00 beta=60.00 gamma=60.00
Fractional coordinates of all 4 atoms:
Pa (0.0000, 0.0000, 0.0000)
Co (0.7500, 0.7500, 0.7500)
Ge (0.5000, 0.5000, 0.5000)
Os (0.2500, 0.2500, 0.2500)



b) Material: PaCoGeOs
Method: DFT, PBE
State: optimized geometry

Unit cell a=5.4407 b=5.4407 c=5.4407 alpha=44.69 beta=44.69 gamma=44.69
Fractional coordinates of all 4 atoms:
Pa (0.0000, 0.0000, 0.0000)
Co (0.4684, 0.4684, 0.4684)
Ge (0.2050, 0.2050, 0.2050)
Os (0.7843, 0.7843, 0.7843)



If we sort the structures by their calculated energies, the order from most to least stable is b), a).



a) Material: CoGeP
Method: DFT, PBE
State: optimized geometry

Unit cell a=5.6299 b=5.6299 c=5.6299 alpha=90.00 beta=90.00 gamma=90.00
Fractional coordinates of all 12 atoms:
Co (0.0382, 0.0382, 0.0382)
Co (0.4618, 0.9618, 0.5382)
Co (0.5382, 0.4618, 0.9618)
Co (0.9618, 0.5382, 0.4618)
Ge (0.1522, 0.6522, 0.8478)
Ge (0.3478, 0.3478, 0.3478)
Ge (0.6522, 0.8478, 0.1522)
Ge (0.8478, 0.1522, 0.6522)
P (0.1300, 0.8700, 0.3700)
P (0.3700, 0.1300, 0.8700)
P (0.6300, 0.6300, 0.6300)
P (0.8700, 0.3700, 0.1300)



b) Material: CoGeP
Method: DFT, PBE
State: optimized geometry

Unit cell a=4.5197 b=6.4357 c=7.1789 alpha=90.00 beta=125.81 gamma=90.00
Fractional coordinates of all 12 atoms:
Co (0.2071, 0.1121, 0.4430)
Co (0.2071, 0.3879, 0.9430)
Co (0.7929, 0.6121, 0.0570)
Co (0.7929, 0.8879, 0.5570)
Ge (0.4206, 0.6915, 0.1900)
Ge (0.4206, 0.8085, 0.6900)
Ge (0.5794, 0.1915, 0.3100)
Ge (0.5794, 0.3085, 0.8100)
P (0.0902, 0.0561, 0.8865)
P (0.0902, 0.4439, 0.3865)
P (0.9098, 0.5561, 0.6135)
P (0.9098, 0.9439, 0.1135)



If we sort the structures by their calculated energies, the order from most to least stable is b), a).